1.
Compound: Ga2HIrRu
Source: Alexandria via LeMat-Bulk
Functional: PBE
Structure: optimized geometry

The structure belongs to space group P4/mmm (No. 123); the cell edges are 4.278, 4.278 and 3.295 Å and the angles 90.00°, 90.00° and 90.00°. Symmetry generates all atoms from Ga at (0.000, 0.500, 0.000), H at (0.000, 0.000, 0.000), Ir at (0.500, 0.500, 0.500) and Ru at (0.000, 0.000, 0.500).

As for the electronic total energy: -5.636 eV per atom. The value obtained for the spin magnetization is 0.00 μB/f.u. The volume is 60 Å³ per cell.

2.
Compound: TeAs2SeO
Source: Alexandria via LeMat-Bulk
Functional: PBE
Structure: optimized geometry

The structure belongs to space group P4/mmm (No. 123); the cell edges are 5.414, 5.414 and 5.290 Å and the angles 90.00°, 90.00° and 90.00°. Symmetry generates all atoms from Te at (0.000, 0.000, 0.000), As at (0.000, 0.500, 0.000), Se at (0.000, 0.000, 0.500) and O at (0.500, 0.500, 0.500).

The formation energy (no corrections) comes out at 1.455 eV per atom. As for the electronic total energy: -2.722 eV per atom. The polymorph energy (0 for the lowest one) is 1066 meV/atom. The value obtained for the spin magnetization is 1.22 μB/f.u. The volume is 155 Å³ per cell.

3.
Compound: Nb2RhSI
Source: Alexandria via LeMat-Bulk
Functional: PBE
Structure: optimized geometry

The structure belongs to space group P4/mmm (No. 123); the cell edges are 4.964, 4.964 and 5.073 Å and the angles 90.00°, 90.00° and 90.00°. Symmetry generates all atoms from Nb at (0.000, 0.500, 0.000), Rh at (0.000, 0.000, 0.000), S at (0.500, 0.500, 0.500) and I at (0.000, 0.000, 0.500).

The formation energy (no corrections) comes out at 1.195 eV per atom. As for the electronic total energy: -5.439 eV per atom. The value obtained for the spin magnetization is 1.70 μB/f.u. The volume is 125 Å³ per cell.

4.
Compound: Ru2Rh4W
Source: Alexandria via LeMat-Bulk
Functional: PBE
Structure: optimized geometry

The structure belongs to space group P2_1/c (No. 14); the cell edges are 4.549, 8.955 and 5.207 Å and the angles 90.00°, 92.66° and 90.00°. Symmetry generates all atoms from Ru at (0.234, 0.041, 0.429), Rh at (0.026, 0.163, 0.962), Rh at (0.464, 0.735, 0.803) and W at (0.500, 0.000, 0.000).

As for the formation energy from the elements: 170.5 meV/atom. As for the electronic total energy: -8.531 eV per atom. The value obtained for the spin magnetization is 0.00 μB/f.u. The volume is 212 Å³ per cell.